Entry 1:
# La3Pr2Ho6

Crystalline La3Pr2Ho6 at its relaxed geometry (PBE-GGA, Alexandria via LeMat-Bulk).

- ΔE_f (eV per atom) = 0.184
- energy (Ry/atom) = -0.3327
- V (A^3/atom) = 35.3
- space-group type = C2/m

Geometry as extended XYZ:
```
11
Lattice="3.108 -5.398 0.000 3.108 5.398 0.000 -2.091 0.000 11.560" Properties=species:S:1:pos:R:3 pbc="T T T"
La 0.000 0.000 0.000
La 3.108 1.771 0.000
La 3.108 -1.771 0.000
Pr 2.063 3.603 5.780
Pr 2.063 -3.603 5.780
Ho 1.034 1.795 2.909
Ho -0.009 0.000 8.657
Ho 1.034 -1.795 2.909
Ho 3.092 1.795 8.651
Ho 4.135 0.000 2.903
Ho 3.092 -1.795 8.651
```

***

Entry 2:
# Ba6Ag2AuI3

Crystalline Ba6Ag2AuI3 at its relaxed geometry (PBE-GGA, Alexandria via LeMat-Bulk).

- energy (Ry/atom) = -0.2192
- V (A^3/atom) = 44.2
- space-group type = C2/m

Geometry as extended XYZ:
```
12
Lattice="4.144 -7.177 0.000 4.144 7.177 0.000 -2.760 0.000 8.922" Properties=species:S:1:pos:R:3 pbc="T T T"
Ba 1.354 2.344 1.883
Ba -0.055 0.000 7.031
Ba 1.354 -2.344 1.883
Ba 4.175 2.344 7.038
Ba 5.584 0.000 1.890
Ba 4.175 -2.344 7.038
Ag 4.144 2.388 0.000
Ag 4.144 -2.388 0.000
Au 0.000 0.000 0.000
I 2.764 4.764 4.461
I 2.764 0.000 4.461
I 2.764 -4.764 4.461
```